# BaCa2Cu, optimized geometry, DFT PBE
# Fermi-level density of states ... 8.4 states/eV/cell
# Energy relative to the elements ... 0.017 eV per atom
# Relative energy among the computed polymorphs ... 3.5 kJ per mole of atoms
data_BaCa2Cu
_chemical_formula_sum 'Ba2 Ca4 Cu2'
_symmetry_space_group_name_H-M 'C m m m'
_symmetry_Int_Tables_number 65
_symmetry_space_group_name_Hall '-C 2 2'
_cell_length_a 5.3257
_cell_length_b 5.3341
_cell_length_c 9.9975
_cell_angle_alpha 90.00
_cell_angle_beta 90.00
_cell_angle_gamma 90.00
loop_
_atom_site_label
_atom_site_type_symbol
_atom_site_fract_x
_atom_site_fract_y
_atom_site_fract_z
_atom_site_occupancy
Ba1 Ba 0.0000 0.0000 0.0000 1
Ca1 Ca 0.0000 0.5000 0.3316 1
Cu1 Cu 0.0000 0.0000 0.5000 1